Pd2WO | PBE with a Hubbard U | optimized geometry

```
data_Pd2WO
_chemical_formula_sum 'Pd8 W4 O4'
_space_group_name_H-M_alt 'I -4 2 d'
_space_group_IT_number 122
_space_group_name_Hall 'I -4 2bw'
_cell_length_a 6.864
_cell_length_b 6.864
_cell_length_c 4.829
_cell_angle_alpha 90.00
_cell_angle_beta 90.00
_cell_angle_gamma 90.00
loop_
_atom_site_label
_atom_site_type_symbol
_atom_site_fract_x
_atom_site_fract_y
_atom_site_fract_z
Pd1 Pd 0.203 0.250 0.125
W1 W 0.000 0.000 0.500
O1 O 0.000 0.000 0.000
```

Raw total energy, eV/f.u.: -20.8
M_tot, μB/f.u.: 0.00
D(E_F), states/eV per atom: 0.08